# SmYTlFe2 (PBE-GGA, relaxed)
data_SmYTlFe2
_cell_length_a 4.043
_cell_length_b 3.807
_cell_length_c 13.970
_cell_angle_alpha 90.00
_cell_angle_beta 90.00
_cell_angle_gamma 90.00
_symmetry_space_group_name_H-M 'A m m 2'
_symmetry_Int_Tables_number 38
loop_
_symmetry_equiv_pos_as_xyz
'x,y,z'
'-x,-y,z'
'-x,y,z'
'x,-y,z'
'x,y+1/2,z+1/2'
'-x,-y+1/2,z+1/2'
'-x,y+1/2,z+1/2'
'x,-y+1/2,z+1/2'
loop_
_atom_site_label
_atom_site_type_symbol
_atom_site_fract_x
_atom_site_fract_y
_atom_site_fract_z
_atom_site_occupancy
Sm1 Sm 0.000 0.000 0.000 1
Y1 Y 0.000 0.000 0.724 1
Tl1 Tl 0.500 0.000 0.360 1
Fe1 Fe 0.500 0.000 0.152 1
Fe2 Fe 0.500 0.000 0.574 1
# Crystal system: orthorhombic
# VASP energy: -6.16 eV/atom
# Total moment: 0.3069 μB/atom